Record 1
Below is a crystal of Zn2ReRh relaxed with PBEsol, with properties calculated at the SCAN level.

Cell lengths 2.696, 4.603, 4.667 Å; angles 97.80, 90.00, 107.03 degrees
Positions (direct):
Zn1 0.248 0.497 0.766
Zn2 0.002 0.005 0.984
Re1 0.497 0.994 0.481
Rh1 0.753 0.505 0.269

Output
* distance to the lowest polymorph of the same formula: 0.028 eV per atom
* SG: Cm (8)

---

Record 2
Below is a crystal of Zn3ReRh relaxed with PBEsol, with properties calculated at the SCAN level.

Cell lengths 4.535, 4.535, 4.535 Å; angles 90.00, 90.00, 90.00 degrees
Site moments in Bohr magnetons follow the coordinates.
Positions (direct):
Rh1 0.000 0.000 0.000  0.40
Zn1 0.000 0.500 0.000  -0.05
Zn2 0.500 0.000 0.000  -0.05
Zn3 0.000 0.000 0.500  -0.05
Re1 0.500 0.500 0.500  3.11

Output
* SG: Pm-3m (221)

---

Record 3
Below is a crystal of ZnReRh2 relaxed with PBEsol, with properties calculated at the SCAN level.

Cell lengths 3.701, 3.701, 4.756 Å; angles 112.89, 112.89, 90.00 degrees
Positions (direct):
Zn1 0.500 0.500 0.000
Re1 0.250 0.750 0.500
Rh1 0.750 0.250 0.500
Rh2 0.000 0.000 0.000

Output
* distance to the lowest polymorph of the same formula: 0.308 eV per atom
* SG: I-4m2 (119)

---

Number 1: final energy -32.97 eV/atom. Number 2: final energy -27.84 eV/atom. Number 3: final energy -38.03 eV/atom.